CdBP3: relaxed, PBE-GGA.

Lattice parameters (Å, degrees): 4.965 4.965 4.965 90.00 90.00 90.00
Space group Pm-3m (No. 221)
One atom of each set of equivalent atoms:
Cd 0.000 0.000 0.000 x1
B 0.500 0.500 0.500 x1
P 0.000 0.000 0.500 x3

## Properties
crystal system: cubic
energy above the lowest structure with this stoichiometry: 1.352 eV per atom